Compound: TlAgC
Source: Alexandria
Functional: PBE
Structure: optimized geometry

Lattice parameters (Å, degrees): 4.111 4.479 7.079 91.07 96.36 90.41
Space group P1 (No. 1)
One atom of each set of equivalent atoms:
Tl 0.000 0.000 0.000 [1 per cell]
Tl 0.274 0.990 0.475 [1 per cell]
Ag 0.636 0.495 0.251 [1 per cell]
Ag 0.824 0.495 0.642 [1 per cell]
C 0.329 0.493 0.786 [1 per cell]
C 0.512 0.495 0.945 [1 per cell]

Values from the calculation:
Its electronic total energy is -4.0936 eV/atom. For the energy of formation from the pure elements, the calculation gives 2.16 eV/f.u.

=====

Compound: MgNi2Os
Source: Alexandria
Functional: PBE
Structure: optimized geometry

Lattice parameters (Å, degrees): 5.945 5.945 5.945 90.00 90.00 90.00
Space group F-43m (No. 216)
One atom of each set of equivalent atoms:
Mg 0.000 0.000 0.000 [4 per cell]
Ni 0.000 0.000 0.500 [4 per cell]
Ni 0.250 0.250 0.750 [4 per cell]
Os 0.250 0.250 0.250 [4 per cell]

Values from the calculation:
Its electronic total energy is -5.8107 eV/atom. For the energy of formation from the pure elements, the calculation gives 1.14 eV/f.u.

=====

Compound: Ni2TeOs
Source: Alexandria
Functional: PBE
Structure: optimized geometry

Lattice parameters (Å, degrees): 6.127 6.127 6.127 90.00 90.00 90.00
Space group F-43m (No. 216)
One atom of each set of equivalent atoms:
Ni 0.000 0.000 0.000 [4 per cell]
Ni 0.250 0.250 0.250 [4 per cell]
Te 0.000 0.000 0.500 [4 per cell]
Os 0.250 0.250 0.750 [4 per cell]

Values from the calculation:
Its electronic total energy is -6.0792 eV/atom. For the formation energy from raw total energies, the calculation gives 0.4043 eV per atom.